Below is crystalline BaCaSc at its relaxed geometry, with properties calculated at the PBE level.

Lattice parameters (Å, degrees): 3.9146 3.9146 15.8944 90.00 90.00 90.00
Space group I4mm (No. 107)
Symmetry-distinct sites (fractional):
Ba: 0.0000 0.0000 0.0000 x2
Ca: 0.0000 0.0000 0.3002 x2
Sc: 0.0000 0.0000 0.6609 x2

## Properties
Energy of formation from the pure elements   0.8 eV per formula unit
Energy above the most stable polymorph in this dataset   0.00 eV/f.u.
N(E_F)   10.06 states/eV/cell

---

Below is crystalline NaSrLi10 at its relaxed geometry, with properties calculated at the PBE level.

Lattice parameters (Å, degrees): 4.7483 6.0887 10.6395 90.00 90.00 90.00
Space group Pmmm (No. 47)
Symmetry-distinct sites (fractional):
Na: 0.0000 0.0000 0.0000 x1
Sr: 0.0000 0.5000 0.5000 x1
Li: 0.0000 0.0000 0.3231 x2
Li: 0.0000 0.5000 0.1585 x2
Li: 0.5000 0.0000 0.5000 x1
Li: 0.5000 0.2499 0.2451 x4
Li: 0.5000 0.5000 0.0000 x1

## Properties
Energy of formation from the pure elements   0.6 eV per formula unit
N(E_F)   5.37 states/eV/cell

---

Below is crystalline CsBaHg at its relaxed geometry, with properties calculated at the PBE level.

Lattice parameters (Å, degrees): 4.9869 4.9869 8.8131 90.00 90.00 120.00
Space group P3m1 (No. 156)
Symmetry-distinct sites (fractional):
Cs: 0.0000 0.0000 0.0000 x1
Ba: 0.6667 0.3333 0.5013 x1
Hg: 0.3333 0.6667 0.2920 x1

## Properties
Energy of formation from the pure elements   -0.5 eV per formula unit
Energy above the most stable polymorph in this dataset   0.18 eV/f.u.
N(E_F)   3.61 states/eV/cell

---

Below is crystalline Er3PPb at its relaxed geometry, with properties calculated at the PBE level.

Lattice parameters (Å, degrees): 8.5755 4.1408 14.7020 90.00 90.00 90.00
Space group Pnma (No. 62)
Symmetry-distinct sites (fractional):
Er: 0.0239 0.2500 0.1081 x4
Er: 0.1630 0.2500 0.5138 x4
Er: 0.1921 0.7500 0.2840 x4
P: 0.1685 0.2500 0.9436 x4
Pb: 0.0868 0.7500 0.6752 x4

## Properties
Energy of formation from the pure elements   -4.4 eV per formula unit
Energy above the most stable polymorph in this dataset   0.00 eV/f.u.
N(E_F)   13.96 states/eV/cell

---

Below is crystalline FeSb2Cl at its relaxed geometry, with properties calculated at the PBE level.

Lattice parameters (Å, degrees): 3.6367 5.4667 9.7086 90.00 90.00 90.00
Space group Cmm2 (No. 35)
Symmetry-distinct sites (fractional):
Fe: 0.0000 0.0000 0.0000 x2
Sb: 0.0000 0.0000 0.5153 x2
Sb: 0.0000 0.5000 0.7882 x2
Cl: 0.0000 0.5000 0.1541 x2

## Properties
Energy above the most stable polymorph in this dataset   0.84 eV/f.u.
N(E_F)   7.65 states/eV/cell

---

Below is crystalline LiTm2NpS4 at its relaxed geometry, with properties calculated at the PBE level.

Lattice parameters (Å, degrees): 6.6847 3.8507 6.6948 90.00 109.68 90.00
Space group P2/m (No. 10)
Symmetry-distinct sites (fractional):
Li: 0.0000 0.0000 0.0000 x1
Tm: 0.0000 0.5000 0.5000 x1
Tm: 0.5000 0.0000 0.5000 x1
Np: 0.5000 0.5000 0.0000 x1
S: 0.2441 0.0000 0.7470 x2
S: 0.2446 0.5000 0.2514 x2

## Properties
Raw total energy   -6.764 eV per atom
N(E_F)   11.88 states/eV/cell

---

Below is crystalline CrSn2Au at its relaxed geometry, with properties calculated at the PBE level.

Lattice parameters (Å, degrees): 6.7834 6.7834 6.7834 90.00 90.00 90.00
Space group Fm-3m (No. 225)
Symmetry-distinct sites (fractional):
Cr: 0.0000 0.0000 0.0000 x4
Sn: 0.2500 0.2500 0.2500 x8
Au: 0.0000 0.0000 0.5000 x4

## Properties
Energy of formation from the pure elements   2.2 eV per formula unit
Energy above the most stable polymorph in this dataset   1.00 eV/f.u.
N(E_F)   29.43 states/eV/cell

---

Below is crystalline Ba2Zn2Ga4Ir at its relaxed geometry, with properties calculated at the PBE level.

Lattice parameters (Å, degrees): 6.5315 6.5315 9.4598 90.00 90.00 90.00
Space group I4/mmm (No. 139)
Symmetry-distinct sites (fractional):
Ba: 0.0000 0.5000 0.2500 x4
Zn: 0.0000 0.0000 0.2255 x4
Ga: 0.2178 0.2178 0.0000 x8
Ir: 0.0000 0.0000 0.5000 x2

## Properties
Energy of formation from the pure elements   -2.7 eV per formula unit
N(E_F)   14.17 states/eV/cell

---

Below is crystalline CuPdAu2 at its relaxed geometry, with properties calculated at the PBE level.

Lattice parameters (Å, degrees): 2.8701 2.8701 27.0488 90.00 90.00 120.00
Space group R3m (No. 160, hexagonal axes)
Symmetry-distinct sites (fractional):
Cu: 0.0000 0.0000 0.0000 x3
Pd: 0.0000 0.0000 0.1671 x3
Au: 0.0000 0.0000 0.5873 x3
Au: 0.0000 0.0000 0.7464 x3

## Properties
Energy of formation from the pure elements   -0.1 eV per formula unit
Energy above the most stable polymorph in this dataset   0.30 eV/f.u.
N(E_F)   9.31 states/eV/cell

---

Below is crystalline Ce4PbCl4 at its relaxed geometry, with properties calculated at the PBE level.

Lattice parameters (Å, degrees): 9.3236 9.3236 5.6742 90.00 90.00 90.00
Space group I4/m (No. 87)
Symmetry-distinct sites (fractional):
Ce: 0.1005 0.6804 0.0000 x8
Pb: 0.0000 0.0000 0.0000 x2
Cl: 0.1113 0.7050 0.5000 x8

## Properties
Raw total energy   -5.118 eV per atom
N(E_F)   46.53 states/eV/cell

---

Below is crystalline BaAu2I at its relaxed geometry, with properties calculated at the PBE level.

Lattice parameters (Å, degrees): 9.2586 9.2586 6.3068 90.00 90.00 90.00
Space group I-42d (No. 122)
Symmetry-distinct sites (fractional):
Ba: 0.0000 0.0000 0.0000 x4
Au: 0.2398 0.2500 0.6250 x8
I: 0.0000 0.0000 0.5000 x4

## Properties
Energy above the most stable polymorph in this dataset   0.03 eV/f.u.
N(E_F)   6.99 states/eV/cell

---

Below is crystalline Pr2TmTl3Se6 at its relaxed geometry, with properties calculated at the PBE level.

Lattice parameters (Å, degrees): 7.4258 12.8540 8.1426 90.00 107.69 90.00
Space group C2/m (No. 12)
Symmetry-distinct sites (fractional):
Pr: 0.0000 0.1665 0.0000 x4
Tm: 0.0000 0.5000 0.0000 x2
Tl: 0.0000 0.0000 0.5000 x2
Tl: 0.0000 0.3312 0.5000 x4
Se: 0.2293 0.3400 0.2075 x8
Se: 0.2500 0.0000 0.2105 x4

## Properties
Raw total energy   -4.873 eV per atom